DFT (meta-GGA SCAN) results for Zn3RhC at its PBEsol-relaxed geometry.

Unit cell a=4.6569 b=4.6569 c=4.6569 alpha=90.00 beta=90.00 gamma=90.00
Sites, in units of the cell vectors:
Zn 0.0000 0.5000 0.0000
Zn 0.0000 0.0000 0.5000
Zn 0.5000 0.0000 0.0000
Rh 0.0000 0.0000 0.0000
C 0.5000 0.5000 0.5000

Calculated values
ΔE_f = 1.537 eV per atom
space group = Pm-3m, No. 221
size of the total moment = 1.72 μB/f.u.
energy = -15.346 eV/atom